No. 1
Computed, not measured: a relaxed structure of Tb2ZnSi at the PBE level of DFT.

```
Tb2ZnSi
1.0
4.0774 0.0000 0.0000
0.0000 2.1033 5.4193
0.0000 -2.1033 5.4193
Tb Zn Si
2 1 1
Direct
0.0000 0.0000 0.0000
0.5000 0.2835 0.2835
0.5000 0.5728 0.5728
0.0000 0.7159 0.7159
```

N(E_F)   0.989 states/eV per atom
Symmetry   Amm2, No. 38

No. 2
Computed, not measured: a relaxed structure of Ba2WCl at the PBE level of DFT.

```
Ba2WCl
1.0
1.9192 1.1081 11.3788
-1.9192 1.1081 11.3788
0.0000 -2.2161 11.3788
Ba W Cl
2 1 1
Direct
0.0000 0.0000 0.0000
0.2130 0.2130 0.2130
0.7379 0.7379 0.7379
0.4849 0.4849 0.4849
```

N(E_F)   0.828 states/eV per atom
Symmetry   R3m, No. 160

No. 3
Computed, not measured: a relaxed structure of Pr8Ir3I4Cl at the PBE level of DFT.

```
Pr8Ir3I4Cl
1.0
4.3032 2.4844 8.1046
-4.3032 2.4844 8.1046
0.0000 -4.9689 8.1046
Pr Ir I Cl
8 3 4 1
Direct
0.2059 0.7420 0.7420
0.2277 0.2277 0.2277
0.2580 0.2580 0.7941
0.2580 0.7941 0.2580
0.7420 0.2059 0.7420
0.7420 0.7420 0.2059
0.7723 0.7723 0.7723
0.7941 0.2580 0.2580
0.0000 0.0000 0.5000
0.0000 0.5000 0.0000
0.5000 0.0000 0.0000
0.0000 0.0000 0.0000
0.0000 0.5000 0.5000
0.5000 0.0000 0.5000
0.5000 0.5000 0.0000
0.5000 0.5000 0.5000
```

N(E_F)   0.557 states/eV per atom
Symmetry   R-3m, No. 166

No. 4
Computed, not measured: a relaxed structure of Nd2ErAu2 at the PBE level of DFT.

```
Nd2ErAu2
1.0
8.3025 0.0000 0.0000
0.0000 8.3025 0.0000
0.0000 0.0000 3.9229
Nd Er Au
4 2 4
Direct
0.1667 0.3333 0.0000
0.3333 0.8333 0.0000
0.6667 0.1667 0.0000
0.8333 0.6667 0.0000
0.0000 0.0000 0.5000
0.5000 0.5000 0.5000
0.1308 0.6308 0.5000
0.3692 0.1308 0.5000
0.6308 0.8692 0.5000
0.8692 0.3692 0.5000
```

ΔE_f   -0.6503 eV per atom
N(E_F)   1.081 states/eV per atom
Symmetry   P4/mbm, No. 127

No. 5
Computed, not measured: a relaxed structure of Rb2TiAgBr6 at the PBE level of DFT.

```
Rb2TiAgBr6
1.0
0.0000 5.4584 5.4584
5.4584 0.0000 5.4584
5.4584 5.4584 0.0000
Rb Ti Ag Br
2 1 1 6
Direct
0.2500 0.2500 0.2500
0.7500 0.7500 0.7500
0.0000 0.0000 0.0000
0.5000 0.5000 0.5000
0.2384 0.2384 0.7616
0.2384 0.7616 0.2384
0.2384 0.7616 0.7616
0.7616 0.2384 0.2384
0.7616 0.2384 0.7616
0.7616 0.7616 0.2384
```

N(E_F)   1.219 states/eV per atom
Symmetry   Fm-3m, No. 225

No. 6
Computed, not measured: a relaxed structure of Zn3PdO3 at the PBE level of DFT.

```
Zn3PdO3
1.0
5.6963 0.0000 0.0000
0.0000 5.6963 0.0000
0.0000 0.0000 5.6963
Zn Pd O
6 2 6
Direct
0.0000 0.2500 0.5000
0.0000 0.7500 0.5000
0.2500 0.5000 0.0000
0.5000 0.0000 0.2500
0.5000 0.0000 0.7500
0.7500 0.5000 0.0000
0.0000 0.0000 0.0000
0.5000 0.5000 0.5000
0.0000 0.5000 0.2500
0.0000 0.5000 0.7500
0.2500 0.0000 0.5000
0.5000 0.2500 0.0000
0.5000 0.7500 0.0000
0.7500 0.0000 0.5000
```

N(E_F)   1.278 states/eV per atom
Symmetry   Pm-3n, No. 223

No. 7
Computed, not measured: a relaxed structure of BaHg3Sb2 at the PBE level of DFT.

```
BaHg3Sb2
1.0
8.6482 -2.6356 0.0000
8.6482 2.6356 0.0000
-4.8525 0.0000 8.4262
Ba Hg Sb
2 6 4
Direct
0.1461 0.1461 0.1870
0.8539 0.8539 0.8130
0.0338 0.0338 0.7014
0.2667 0.2667 0.9637
0.3499 0.3499 0.5614
0.6501 0.6501 0.4386
0.7333 0.7333 0.0363
0.9662 0.9662 0.2987
0.1728 0.1728 0.6025
0.4739 0.4739 0.1203
0.5261 0.5261 0.8797
0.8272 0.8272 0.3975
```

N(E_F)   0.399 states/eV per atom
Symmetry   C2/m, No. 12

No. 8
Computed, not measured: a relaxed structure of ZrO at the PBE level of DFT.

```
ZrO
1.0
6.2740 0.0000 0.0000
0.0000 6.2740 0.0000
0.0000 0.0000 3.2317
Zr O
4 4
Direct
0.2011 0.2011 0.0000
0.2989 0.7011 0.5000
0.7011 0.2989 0.5000
0.7989 0.7989 0.0000
0.1353 0.8647 0.0000
0.3647 0.3647 0.5000
0.6353 0.6353 0.5000
0.8647 0.1353 0.0000
```

N(E_F)   0.457 states/eV per atom
Symmetry   P4_2/mnm, No. 136

No. 9
Computed, not measured: a relaxed structure of HoBeC at the PBE level of DFT.

```
HoBeC
1.0
3.4957 0.0000 0.0000
0.0000 3.4957 0.0000
0.0000 0.0000 6.9745
Ho Be C
2 2 2
Direct
0.0000 0.0000 0.2500
0.0000 0.0000 0.7500
0.5000 0.5000 0.0000
0.5000 0.5000 0.5000
0.0000 0.5000 0.0000
0.5000 0.0000 0.5000
```

ΔE_f   -0.2170 eV per atom
N(E_F)   0.703 states/eV per atom
Symmetry   P4_2/mmc, No. 131

No. 10
Computed, not measured: a relaxed structure of SmScTlAu at the PBE level of DFT.

```
SmScTlAu
1.0
0.0000 3.6522 3.6522
3.6522 0.0000 3.6522
3.6522 3.6522 0.0000
Sm Sc Tl Au
1 1 1 1
Direct
0.0000 0.0000 0.0000
0.5000 0.5000 0.5000
0.7500 0.7500 0.7500
0.2500 0.2500 0.2500
```

ΔE_f   -0.5022 eV per atom
N(E_F)   1.013 states/eV per atom
Symmetry   F-43m, No. 216

No. 11
Computed, not measured: a relaxed structure of Nd3BiSe6 at the PBE level of DFT.

```
Nd3BiSe6
1.0
12.0382 0.0000 0.0000
0.0000 4.2949 0.0000
-3.9637 0.0000 11.5326
Nd Bi Se
6 2 12
Direct
0.0778 0.2500 0.1666
0.1697 0.7500 0.4962
0.3397 0.2500 0.9234
0.6603 0.7500 0.0766
0.8303 0.2500 0.5038
0.9222 0.7500 0.8334
0.4852 0.2500 0.3189
0.5148 0.7500 0.6811
0.0147 0.2500 0.3813
0.0996 0.2500 0.9312
0.2419 0.7500 0.2831
0.3049 0.7500 0.7461
0.3880 0.2500 0.5303
0.4203 0.7500 0.0971
0.5797 0.2500 0.9029
0.6120 0.7500 0.4697
0.6951 0.2500 0.2539
0.7581 0.2500 0.7169
0.9004 0.7500 0.0688
0.9853 0.7500 0.6187
```

Symmetry   P2_1/m, No. 11

No. 12
Computed, not measured: a relaxed structure of Pr2TmSc at the PBE level of DFT.

```
Pr2TmSc
1.0
5.9950 -3.6278 0.0000
5.9950 3.6278 0.0000
-1.6022 0.0000 5.7737
Pr Tm Sc
4 2 2
Direct
0.1220 0.6288 0.7495
0.3712 0.8780 0.2505
0.6288 0.1220 0.7495
0.8780 0.3712 0.2505
0.3739 0.3739 0.2457
0.6261 0.6261 0.7543
0.1245 0.1245 0.7470
0.8755 0.8755 0.2530
```

ΔE_f   0.0427 eV per atom
N(E_F)   1.349 states/eV per atom
Symmetry   C2/m, No. 12

| no. | raw total energy (eV/atom) |
| --- | --- |
| 1 | -4.5546 |
| 2 | -3.9255 |
| 3 | -5.5531 |
| 4 | -4.7809 |
| 5 | -3.5015 |
| 6 | -4.2506 |
| 7 | -2.1787 |
| 8 | -8.9535 |
| 9 | -6.0596 |
| 10 | -4.6758 |
| 11 | -5.3692 |
| 12 | -5.0478 |